No. 1
ZrSe2F: relaxed, PBE-GGA.

Output
energy above the lowest structure with this stoichiometry = 364 meV/atom
volume = 215 Å³/cell
spin magnetization = 0.000 μB per formula unit
uncorrected energy = -5.20 eV/atom
energy relative to the elements, uncorrected = -0.850 eV per atom

Lattice parameters (Å, degrees): 5.9655 5.9655 7.3630 66.10 66.10 90.00
With the nearest neighbours (Å) after each atom.
Fractional coordinates of all 8 atoms:
1 F 0.2500 0.7500 0.5000  4 Se 2.63
2 Se 0.8750 0.8843 0.7500  2 Zr 2.56, 2 F 2.63
3 Se 0.1157 0.6250 0.2500  2 Zr 2.56, 2 F 2.63
4 Zr 0.7500 0.2500 0.5000  4 Se 2.56
5 Se 0.6343 0.1250 0.2500  2 Zr 2.56, 2 F 2.63
6 Zr 0.0000 0.0000 0.0000  4 Se 2.56
7 Se 0.3750 0.3657 0.7500  2 Zr 2.56, 2 F 2.63
8 F 0.5000 0.5000 0.0000  4 Se 2.63

No. 2
ZrSe3F: relaxed, PBE-GGA.

Output
energy above the lowest structure with this stoichiometry = 366 meV/atom
volume = 98 Å³/cell
spin magnetization = 0.549 μB per formula unit
uncorrected energy = -4.21 eV/atom
energy relative to the elements, uncorrected = -0.033 eV per atom

Lattice parameters (Å, degrees): 4.6121 4.6121 4.6121 90.00 90.00 90.00
With the nearest neighbours (Å) after each atom.
Fractional coordinates of all 5 atoms:
1 Zr 0.5000 0.5000 0.5000  12 Se 3.26
2 Se 0.0000 0.5000 0.0000  2 F 2.31
3 Se 0.0000 0.0000 0.5000  2 F 2.31
4 F 0.0000 0.0000 0.0000  6 Se 2.31
5 Se 0.5000 0.0000 0.0000  2 F 2.31

No. 3
ZrSeF3: relaxed, PBE-GGA.

Output
energy above the lowest structure with this stoichiometry = 2316 meV/atom
volume = 91 Å³/cell
spin magnetization = 2.050 μB per formula unit
uncorrected energy = -4.01 eV/atom
energy relative to the elements, uncorrected = -0.483 eV per atom

Lattice parameters (Å, degrees): 4.4999 4.4999 4.4999 90.00 90.00 90.00
With the nearest neighbours (Å) after each atom.
Fractional coordinates of all 5 atoms:
1 F 0.0000 0.0000 0.5000  2 Se 2.25
2 F 0.0000 0.5000 0.0000  2 Se 2.25
3 F 0.5000 0.0000 0.0000  2 Se 2.25
4 Zr 0.5000 0.5000 0.5000  12 F 3.18
5 Se 0.0000 0.0000 0.0000  6 F 2.25

No. 4
ZrSe3F: relaxed, PBE-GGA.

Output
energy above the lowest structure with this stoichiometry = 0 meV/atom
volume = 139 Å³/cell
spin magnetization = 0.000 μB per formula unit
uncorrected energy = -4.57 eV/atom
energy relative to the elements, uncorrected = -0.399 eV per atom

Lattice parameters (Å, degrees): 5.1853 5.1853 5.1853 90.00 90.00 90.00
With the nearest neighbours (Å) after each atom.
Fractional coordinates of all 5 atoms:
1 F 0.5000 0.5000 0.5000  12 Se 3.67
2 Se 0.5000 0.0000 0.0000  2 Zr 2.59
3 Zr 0.0000 0.0000 0.0000  6 Se 2.59
4 Se 0.0000 0.0000 0.5000  2 Zr 2.59
5 Se 0.0000 0.5000 0.0000  2 Zr 2.59

No. 5
Si3F: relaxed, PBE-GGA.

Output
volume = 54 Å³/cell
spin magnetization = 0.000 μB per formula unit
uncorrected energy = -4.71 eV/atom
energy relative to the elements, uncorrected = -0.176 eV per atom

Lattice parameters (Å, degrees): 4.2368 4.2368 4.2368 60.00 60.00 60.00
With the nearest neighbours (Å) after each atom.
Fractional coordinates of all 4 atoms:
1 F 0.0000 0.0000 0.0000  8 Si 2.59
2 Si 0.7500 0.7500 0.7500  4 F 2.59, 4 Si 2.59
3 Si 0.5000 0.5000 0.5000  8 Si 2.59
4 Si 0.2500 0.2500 0.2500  4 F 2.59, 4 Si 2.59

No. 6
SiF: relaxed, PBE-GGA.

Output
energy above the lowest structure with this stoichiometry = 1439 meV/atom
volume = 127 Å³/cell
spin magnetization = 0.000 μB per formula unit
uncorrected energy = -3.91 eV/atom
energy relative to the elements, uncorrected = -0.259 eV per atom

Lattice parameters (Å, degrees): 5.0304 5.0304 5.0304 90.00 90.00 90.00
With the nearest neighbours (Å) after each atom.
Fractional coordinates of all 8 atoms:
1 Si 0.0000 0.5000 0.0000  6 F 2.52
2 Si 0.0000 0.0000 0.5000  6 F 2.52
3 F 0.5000 0.5000 0.0000  6 Si 2.52
4 F 0.0000 0.5000 0.5000  6 Si 2.52
5 F 0.5000 0.0000 0.5000  6 Si 2.52
6 Si 0.5000 0.5000 0.5000  6 F 2.52
7 Si 0.5000 0.0000 0.0000  6 F 2.52
8 F 0.0000 0.0000 0.0000  6 Si 2.52

No. 7
SiF: relaxed, PBE-GGA.

Output
energy above the lowest structure with this stoichiometry = 315 meV/atom
volume = 183 Å³/cell
spin magnetization = 0.000 μB per formula unit
uncorrected energy = -5.03 eV/atom
energy relative to the elements, uncorrected = -1.384 eV per atom

Lattice parameters (Å, degrees): 3.7949 5.8762 8.1946 90.00 90.00 90.00
With the nearest neighbours (Å) after each atom.
Fractional coordinates of all 12 atoms:
1 Si 0.5000 0.9171 0.6659  1 F 1.87
2 Si 0.0000 0.7005 0.5000  2 F 1.65
3 F 0.0000 0.8640 0.0000  2 Si 1.87
4 F 0.5000 0.4950 0.1444  1 Si 1.65
5 F 0.5000 0.1360 0.5000  2 Si 1.87
6 Si 0.0000 0.0829 0.1659  1 F 1.87
7 Si 0.5000 0.2995 0.0000  2 F 1.65
8 Si 0.5000 0.9171 0.3341  1 F 1.87
9 F 0.0000 0.5050 0.6444  1 Si 1.65
10 F 0.0000 0.5050 0.3556  1 Si 1.65
11 Si 0.0000 0.0829 0.8341  1 F 1.87
12 F 0.5000 0.4950 0.8556  1 Si 1.65

No. 8
SiF: relaxed, PBE-GGA.

Output
energy above the lowest structure with this stoichiometry = 46 meV/atom
volume = 320 Å³/cell
spin magnetization = 0.000 μB per formula unit
uncorrected energy = -5.30 eV/atom
energy relative to the elements, uncorrected = -1.653 eV per atom

Lattice parameters (Å, degrees): 12.0697 3.9069 6.7881 90.00 90.00 90.00
With the nearest neighbours (Å) after each atom.
Fractional coordinates of all 16 atoms:
1 Si 0.5878 0.7500 0.6310  1 F 1.63
2 Si 0.4122 0.2500 0.3690  1 F 1.63
3 F 0.7199 0.7500 0.6776  1 Si 1.63
4 F 0.0884 0.7500 0.3998  1 Si 1.63
5 F 0.2801 0.2500 0.3224  1 Si 1.63
6 F 0.9116 0.2500 0.6002  1 Si 1.63
7 F 0.5884 0.7500 0.1002  1 Si 1.63
8 Si 0.9122 0.2500 0.1310  1 F 1.63
9 F 0.4116 0.2500 0.8998  1 Si 1.63
10 Si 0.4873 0.2500 0.7006  1 F 1.63
11 F 0.7801 0.2500 0.1776  1 Si 1.63
12 Si 0.0878 0.7500 0.8690  1 F 1.63
13 Si 0.5127 0.7500 0.2994  1 F 1.63
14 Si 0.0127 0.7500 0.2006  1 F 1.63
15 Si 0.9873 0.2500 0.7994  1 F 1.63
16 F 0.2199 0.7500 0.8224  1 Si 1.63

No. 9
SiF4: relaxed, PBE-GGA.

Output
volume = 43 Å³/cell
spin magnetization = 0.115 μB per formula unit
uncorrected energy = -4.65 eV/atom
energy relative to the elements, uncorrected = -2.071 eV per atom

Lattice parameters (Å, degrees): 3.5151 3.5151 3.5151 90.00 90.00 90.00
With the nearest neighbours (Å) after each atom.
Fractional coordinates of all 5 atoms:
1 F 0.5000 0.5000 0.0000  2 Si 1.76
2 Si 0.5000 0.5000 0.5000  6 F 1.76
3 F 0.5000 0.0000 0.5000  2 Si 1.76
4 F 0.0000 0.5000 0.5000  2 Si 1.76
5 F 0.0000 0.0000 0.0000  12 F 2.49

No. 10
SiF: relaxed, PBE-GGA.

Output
energy above the lowest structure with this stoichiometry = 1503 meV/atom
volume = 150 Å³/cell
spin magnetization = 0.594 μB per formula unit
uncorrected energy = -3.84 eV/atom
energy relative to the elements, uncorrected = -0.195 eV per atom

Lattice parameters (Å, degrees): 5.3095 5.3095 5.3095 90.00 90.00 90.00
With the nearest neighbours (Å) after each atom.
Fractional coordinates of all 8 atoms:
1 F 0.2500 0.7500 0.7500  4 Si 2.30
2 Si 0.0000 0.0000 0.0000  4 F 2.30
3 F 0.2500 0.2500 0.2500  4 Si 2.30
4 Si 0.0000 0.5000 0.5000  4 F 2.30
5 F 0.7500 0.2500 0.7500  4 Si 2.30
6 Si 0.5000 0.5000 0.0000  4 F 2.30
7 Si 0.5000 0.0000 0.5000  4 F 2.30
8 F 0.7500 0.7500 0.2500  4 Si 2.30

- Which value of energy relative to the elements, uncorrected does entry 8 give?
  -1.653 eV per atom

- Which of these has the highest energy relative to the elements, uncorrected?
  number 2

- Look up the energy relative to the elements, uncorrected of the eighth one.
  -1.653 eV per atom

- Number 6 is which compound?
  SiF